DFT (GGA-PBE) results for a geometry-optimized CsHg2As2 structure.

abc: 9.0108 9.0108 3.3381
angles: 90.00 90.00 90.00
Last column: nearest neighbours and their distance in Å.
Space group P4/mbm (No. 127)
Symmetry-distinct sites (fractional):
Cs 0.0000 0.0000 0.0000 x2  2 Cs 3.34, 4 Hg 3.53
Hg 0.1303 0.3697 0.0000 x4  6 As 3.12-3.14, 3 Hg 3.32-3.34
As 0.1608 0.6608 0.5000 x4  6 Hg 3.12-3.14, 2 As 3.34

Energy above the most stable polymorph in this dataset in kJ/mol of formula units: 138
Magnetization in μB/cell: 0.00
E_form in kcal/mol of atoms: 3.5

---

DFT (GGA-PBE) results for a geometry-optimized Mg2SiTc structure.

abc: 5.2780 8.9642 2.7814
angles: 90.00 103.69 90.00
Last column: nearest neighbours and their distance in Å.
Space group C2/m (No. 12)
Symmetry-distinct sites (fractional):
Mg 0.2500 0.2500 0.0000 x4  4 Mg 2.64-2.78, 2 Tc 2.80, 2 Si 2.80
Si 0.0000 0.0000 0.5000 x2  2 Tc 2.64, 2 Si 2.78, 4 Mg 2.80
Tc 0.0000 0.5000 0.5000 x2  2 Si 2.64, 2 Tc 2.78, 4 Mg 2.80

Magnetization in μB/cell: 0.01
Formation energy without anion corrections in eV per formula unit: 0.490

---

DFT (GGA-PBE) results for a geometry-optimized CoSi2Hg structure.

abc: 2.6712 4.6131 10.4940
angles: 90.00 90.00 90.00
Last column: nearest neighbours and their distance in Å.
Space group Immm (No. 71)
Symmetry-distinct sites (fractional):
Co 0.0000 0.0000 0.0000 x2  4 Si 2.39, 4 Hg 2.67, 2 Co 2.67
Si 0.0000 0.5000 0.3109 x4  2 Co 2.39, 2 Si 2.67
Hg 0.0000 0.0000 0.5000 x2  4 Co 2.67, 2 Hg 2.67

Magnetization in μB/cell: 0.00
Formation energy without anion corrections in eV per formula unit: 1.114

---

DFT (GGA-PBE) results for a geometry-optimized CrTe2P structure.

abc: 3.8250 3.8250 25.3853
angles: 90.00 90.00 120.00
Last column: nearest neighbours and their distance in Å.
Space group R-3m (No. 166, hexagonal axes)
Symmetry-distinct sites (fractional):
Cr 0.0000 0.0000 0.0000 x3  6 Te 2.70
Te 0.0000 0.0000 0.3947 x6  1 P 2.67, 3 Cr 2.70
P 0.0000 0.0000 0.5000 x3  2 Te 2.67

Magnetization in μB/cell: 9.38
Formation energy without anion corrections in eV per formula unit: 1.417

---

DFT (GGA-PBE) results for a geometry-optimized BaPtPb structure.

abc: 7.0581 7.2736 8.6364
angles: 90.00 122.49 90.00
Last column: nearest neighbours and their distance in Å.
Space group P2_1/c (No. 14)
Symmetry-distinct sites (fractional):
Ba 0.2158 0.1435 0.4239 x4  3 Pt 3.18-3.55
Pt 0.3770 0.5894 0.3201 x4  3 Pb 2.74-2.79, 1 Pt 2.93
Pb 0.2482 0.6309 0.5707 x4  3 Pt 2.74-2.79

Magnetization in μB/cell: 0.00
E_form in kcal/mol of atoms: -15.0